Arrangement P

Cd3InPd6: relaxed, GGA-PBE.

Fermi-level density of states (states/eV/atom): 0.40
Symmetry: C2/m (12)

a = 6.9157 Å, b = 7.1502 Å, c = 7.1502 Å
α = 45.82°, β = 62.13°, γ = 62.13°
Closest atoms and distances in Å follow each position.
Fractional coordinates of all 10 atoms:
1 In 0.5000 0.5000 0.5000  6 Pd 2.65-2.83
2 Pd 0.6157 0.8830 0.3797  1 In 2.65, 5 Pd 2.69-2.83, 3 Cd 2.70-2.89
3 Pd 0.3843 0.1170 0.6203  1 In 2.65, 5 Pd 2.69-2.83, 3 Cd 2.70-2.89
4 Pd 0.2059 0.7467 0.7467  4 Cd 2.71-2.89, 4 Pd 2.82-2.83, 1 In 2.83
5 Pd 0.7941 0.2533 0.2533  4 Cd 2.71-2.89, 4 Pd 2.82-2.83, 1 In 2.83
6 Pd 0.6157 0.3797 0.8830  1 In 2.65, 5 Pd 2.69-2.83, 3 Cd 2.70-2.89
7 Pd 0.3843 0.6203 0.1170  1 In 2.65, 5 Pd 2.69-2.83, 3 Cd 2.70-2.89
8 Cd 0.8107 0.7500 0.7500  7 Pd 2.71-2.89
9 Cd 0.1893 0.2500 0.2500  7 Pd 2.71-2.89
10 Cd 0.0000 0.0000 0.0000  6 Pd 2.70-2.89

---

Arrangement Q

Cd3InPd6: relaxed, GGA-PBE.

Fermi-level density of states (states/eV/atom): 0.30
Symmetry: P2_1/m (11)

a = 4.6964 Å, b = 7.7806 Å, c = 10.0343 Å
α = 110.89°, β = 90.00°, γ = 90.00°
Closest atoms and distances in Å follow each position.
Fractional coordinates of all 20 atoms:
1 Pd 0.7500 0.1552 0.6721  3 In 2.82-2.84, 4 Cd 2.85-2.90, 5 Pd 2.90-3.13
2 Pd 0.2500 0.4380 0.1128  7 Cd 2.79-2.91, 4 Pd 2.85-3.08
3 Pd 0.7500 0.3551 0.2798  1 In 2.75, 5 Cd 2.79-2.93, 3 Pd 2.82-3.01
4 Pd 0.7500 0.5620 0.8872  7 Cd 2.79-2.91, 4 Pd 2.85-3.08
5 Pd 0.7500 0.9588 0.0821  1 In 2.74, 4 Cd 2.78-2.91, 7 Pd 2.80-3.07
6 Pd 0.2500 0.1397 0.2154  8 Pd 2.80-2.90, 2 Cd 2.94-2.96, 2 In 3.01
7 Pd 0.7500 0.7662 0.4827  4 Cd 2.80-2.91, 3 In 2.83-2.89, 5 Pd 2.85-3.12
8 Pd 0.2500 0.2338 0.5173  4 Cd 2.80-2.91, 3 In 2.83-2.89, 5 Pd 2.85-3.12
9 Pd 0.2500 0.8448 0.3279  3 In 2.82-2.84, 4 Cd 2.85-2.90, 5 Pd 2.90-3.13
10 Pd 0.2500 0.0412 0.9179  1 In 2.74, 4 Cd 2.78-2.91, 7 Pd 2.80-3.07
11 Pd 0.2500 0.6449 0.7202  1 In 2.75, 5 Cd 2.79-2.93, 3 Pd 2.82-3.01
12 Pd 0.7500 0.8603 0.7846  8 Pd 2.80-2.90, 2 Cd 2.94-2.96, 2 In 3.01
13 Cd 0.7500 0.6529 0.1848  8 Pd 2.80-2.91, 1 In 3.08, 3 Cd 3.10-3.12
14 Cd 0.2500 0.7534 0.0216  9 Pd 2.78-2.94, 1 Cd 3.10
15 Cd 0.2500 0.5290 0.4085  9 Pd 2.79-2.96, 2 Cd 3.11
16 Cd 0.2500 0.3471 0.8152  8 Pd 2.80-2.91, 1 In 3.08, 3 Cd 3.10-3.12
17 Cd 0.7500 0.2466 0.9784  9 Pd 2.78-2.94, 1 Cd 3.10
18 Cd 0.7500 0.4710 0.5915  9 Pd 2.79-2.96, 2 Cd 3.11
19 In 0.2500 0.9369 0.6261  10 Pd 2.74-3.01
20 In 0.7500 0.0631 0.3739  10 Pd 2.74-3.01

---

Preferred: arrangement Q; penalty for the next structure: 296 meV/atom.

---

Arrangement P

CdIn2Pd4: relaxed, GGA-PBE.

Fermi-level density of states (states/eV/atom): 0.60
Symmetry: I4/mmm (139)

a = 4.9251 Å, b = 4.9251 Å, c = 7.6129 Å
α = 71.13°, β = 71.13°, γ = 90.00°
Closest atoms and distances in Å follow each position.
Fractional coordinates of all 7 atoms:
1 Pd 0.1950 0.1950 0.6101  1 In 2.58, 1 Cd 2.64
2 Pd 0.5000 0.0000 0.0000  2 Cd 2.46
3 Pd 0.0000 0.5000 0.0000  2 Cd 2.46
4 Pd 0.8050 0.8050 0.3899  1 In 2.58, 1 Cd 2.64
5 In 0.3854 0.3854 0.2292  1 Pd 2.58
6 In 0.6146 0.6146 0.7708  1 Pd 2.58
7 Cd 0.0000 0.0000 0.0000  6 Pd 2.46-2.64

---

Arrangement Q

CdIn2Pd4: relaxed, GGA-PBE.

Fermi-level density of states (states/eV/atom): 0.47
Symmetry: I4/mmm (139)

a = 5.6341 Å, b = 5.6341 Å, c = 5.6341 Å
α = 96.43°, β = 116.36°, γ = 116.36°
Closest atoms and distances in Å follow each position.
Fractional coordinates of all 7 atoms:
1 Pd 0.0000 0.0000 0.5000  4 In 2.82, 2 Cd 2.82, 4 Pd 2.97
2 Pd 0.0000 0.5000 0.0000  4 In 2.82, 2 Cd 2.82, 4 Pd 2.97
3 Pd 0.5000 0.0000 0.0000  2 Cd 2.82, 4 In 2.82, 4 Pd 2.97
4 Pd 0.5000 0.5000 0.5000  4 In 2.82, 2 Cd 2.82, 4 Pd 2.97
5 In 0.5000 0.0000 0.5000  8 Pd 2.82, 2 Cd 2.97
6 In 0.5000 0.5000 0.0000  8 Pd 2.82, 2 Cd 2.97
7 Cd 0.0000 0.0000 0.0000  8 Pd 2.82, 4 In 2.97

---

Preferred: arrangement Q; penalty for the next structure: 614 meV/atom.